No. 1
An optimized crystal structure of LiLaGe3. Source: Alexandria, functional PBE-GGA.

Cell and atoms, written as CIF:
```
data_LiLaGe3
_cell_length_a 4.045
_cell_length_b 4.289
_cell_length_c 13.003
_cell_angle_alpha 99.49
_cell_angle_beta 90.00
_cell_angle_gamma 90.00
_space_group_name_H-M_alt 'P 1'
_space_group_IT_number 1
loop_
_space_group_symop_operation_xyz
'x,y,z'
loop_
_atom_site_label
_atom_site_fract_x
_atom_site_fract_y
_atom_site_fract_z
Ge1 0.250 0.692 0.384
Ge2 0.250 0.470 0.940
Ge3 0.750 0.308 0.616
Ge4 0.750 0.634 0.267
Ge5 0.250 0.366 0.733
Ge6 0.750 0.530 0.060
Li1 0.750 0.203 0.405
Li2 0.250 0.797 0.595
La1 0.750 0.921 0.843
La2 0.250 0.079 0.157
```

Its excess energy over the best structure of this formula in the dataset is 0 meV/atom. For the formation energy, the calculation gives -2.4 eV/f.u.



No. 2
An optimized crystal structure of BeZn2AuO. Source: Alexandria, functional PBE-GGA.

Cell and atoms, written as CIF:
```
data_BeZn2AuO
_cell_length_a 3.810
_cell_length_b 5.648
_cell_length_c 3.810
_cell_angle_alpha 90.00
_cell_angle_beta 90.00
_cell_angle_gamma 90.00
_space_group_name_H-M_alt 'P 1'
_space_group_IT_number 1
loop_
_space_group_symop_operation_xyz
'x,y,z'
loop_
_atom_site_label
_atom_site_fract_x
_atom_site_fract_y
_atom_site_fract_z
Zn1 0.500 0.000 0.000
Zn2 0.000 0.000 0.500
Au1 0.000 0.500 0.000
Be1 0.500 0.500 0.500
O1 0.000 0.000 0.000
```



Respective DOS at the Fermi energy values: 4.87 1.62 states/eV per cell.
Respective E_tot values: -23.13 -13.70 eV per formula unit.